(1)
PBE-GGA Tb3BeB2N6, optimized geometry; formation energy (no corrections) = -0.9691 eV/atom; total DFT energy (no corrections) = -7.713 eV/atom; space group = P-3m1 (164)
1.0
5.256 0.000 0.000
-2.628 4.552 0.000
0.000 0.000 5.835
Tb Be B N
3 1 2 6
Direct
0.000 0.000 0.000
0.333 0.667 0.658
0.667 0.333 0.342
0.000 0.000 0.500
0.333 0.667 0.251
0.667 0.333 0.749
0.176 0.352 0.290
0.176 0.824 0.290
0.352 0.176 0.710
0.648 0.824 0.290
0.824 0.176 0.710
0.824 0.648 0.710

---

(2)
PBE-GGA Ba2PaSb3Pt4, optimized geometry; formation energy (no corrections) = -0.7654 eV/atom; total DFT energy (no corrections) = -5.753 eV/atom; space group = P-4m2 (115)
1.0
4.711 0.000 0.000
0.000 4.711 0.000
0.000 0.000 11.450
Ba Pa Sb Pt
2 1 3 4
Direct
0.000 0.500 0.229
0.500 0.000 0.771
0.000 0.000 0.500
0.000 0.500 0.880
0.500 0.000 0.120
0.500 0.500 0.500
0.000 0.000 0.000
0.000 0.500 0.641
0.500 0.000 0.359
0.500 0.500 0.000

---

(3)
PBE-GGA MgZnRh2, optimized geometry; calculated formation energy = -0.237 eV/atom; total DFT energy (no corrections) = -4.630 eV/atom; space group = Cmmm (65)
1.0
1.549 -2.327 0.000
1.549 2.327 0.000
0.000 0.000 8.260
Mg Zn Rh
1 1 2
Direct
0.000 0.000 0.000
0.000 0.000 0.500
0.500 0.500 0.255
0.500 0.500 0.745

---

(4)
PBE-GGA NaEu2Ge, optimized geometry; calculated formation energy = -0.310 eV/atom; total DFT energy (no corrections) = -6.931 eV/atom; space group = P4/mmm (123)
1.0
3.825 0.000 0.000
0.000 3.825 0.000
0.000 0.000 8.993
Na Eu Ge
1 2 1
Direct
0.000 0.000 0.000
0.500 0.500 0.315
0.500 0.500 0.685
0.000 0.000 0.500

---

(5)
PBE-GGA CoRh2W, optimized geometry; calculated formation energy = -0.131 eV/atom; ΔE to the lowest computed polymorph = 0.010 eV per atom; total DFT energy (no corrections) = -8.822 eV/atom; space group = P4/mmm (123)
1.0
3.799 0.000 0.000
0.000 3.799 0.000
0.000 0.000 3.774
Co Rh W
1 2 1
Direct
0.000 0.000 0.000
0.000 0.500 0.500
0.500 0.000 0.500
0.500 0.500 0.000

---

(6)
PBE-GGA Ta3Os, optimized geometry; calculated formation energy = -0.197 eV/atom; total DFT energy (no corrections) = -11.894 eV/atom; space group = Cmcm (63)
1.0
4.585 -4.606 0.000
4.585 4.606 0.000
0.000 0.000 3.245
Ta Os
6 2
Direct
0.128 0.872 0.750
0.133 0.382 0.750
0.382 0.133 0.250
0.618 0.867 0.750
0.867 0.618 0.250
0.872 0.128 0.250
0.368 0.632 0.250
0.632 0.368 0.750

---

(7)
PBE-GGA Pu2TiSi3Pt4, optimized geometry; formation energy (no corrections) = -0.8806 eV/atom; total DFT energy (no corrections) = -8.580 eV/atom; space group = P-4m2 (115)
1.0
4.158 0.000 0.000
0.000 4.158 0.000
0.000 0.000 10.429
Pu Ti Si Pt
2 1 3 4
Direct
0.000 0.500 0.247
0.500 0.000 0.753
0.000 0.000 0.500
0.000 0.500 0.868
0.500 0.000 0.132
0.500 0.500 0.500
0.000 0.000 0.000
0.000 0.500 0.639
0.500 0.000 0.361
0.500 0.500 0.000

---

(8)
PBE-GGA SiPRhO2, optimized geometry; ΔE to the lowest computed polymorph = 0.000 eV per atom; formation energy (no corrections) = -0.8890 eV/atom; total DFT energy (no corrections) = -6.509 eV/atom; space group = P4/mmm (123)
1.0
3.312 0.000 0.000
0.000 3.312 0.000
0.000 0.000 7.332
Si P Rh O
1 1 1 2
Direct
0.000 0.000 0.000
0.000 0.000 0.500
0.500 0.500 0.500
0.000 0.500 0.000
0.500 0.000 0.000